[1]
Crystalline Sr3MgAg at its relaxed geometry, computed with PBE-GGA.

abc: 6.115 6.115 6.115
angles: 90.00 90.00 90.00
Fractional coordinates of all 5 atoms:
Sr: 0.000 0.000 0.500
Sr: 0.000 0.500 0.000
Sr: 0.500 0.000 0.000
Mg: 0.500 0.500 0.500
Ag: 0.000 0.000 0.000

Calculated values
theoretical density	2.87	g/cm3
space-group type	Pm-3m (221)
raw total energy	-1.877	eV per atom


[2]
Crystalline Sr3Mg9Ag2 at its relaxed geometry, computed with PBE-GGA.

abc: 9.290 9.290 9.290
angles: 148.70 106.68 81.86
Fractional coordinates of all 14 atoms:
Sr: 0.000 0.000 0.000
Sr: 0.310 0.310 0.000
Sr: 0.690 0.690 0.000
Mg: 0.022 0.666 0.356
Mg: 0.162 0.882 0.280
Mg: 0.310 0.666 0.644
Mg: 0.398 0.118 0.280
Mg: 0.500 0.000 0.500
Mg: 0.602 0.882 0.720
Mg: 0.690 0.334 0.356
Mg: 0.838 0.118 0.720
Mg: 0.978 0.334 0.644
Ag: 0.298 0.500 0.798
Ag: 0.702 0.500 0.202

Calculated values
theoretical density	2.97	g/cm3
space-group type	Immm (71)
raw total energy	-1.872	eV per atom